The following is a DFT calculation (meta-GGA SCAN) of a crystal of CsInI3 relaxed with PBEsol.

Output
Raw formation energy   -1.0076 eV/atom
Space-group type   Pm-3m, No. 221
Crystal system   cubic
DOS at the Fermi energy   1.11 states/eV per cell

Unit cell a=6.0145 b=6.0145 c=6.0145 alpha=90.00 beta=90.00 gamma=90.00
Closest atoms and distances in Å follow each position.
Sites, in units of the cell vectors:
1 Cs 0.5000 0.5000 0.5000  12 I 4.25
2 In 0.0000 0.0000 0.0000  6 I 3.01
3 I 0.5000 0.0000 0.0000  2 In 3.01
4 I 0.0000 0.5000 0.0000  2 In 3.01
5 I 0.0000 0.0000 0.5000  2 In 3.01

=====

The following is a DFT calculation (meta-GGA SCAN) of a crystal of MnAl2Cr relaxed with PBEsol.

Output
ΔH_f (0 K)   -214 meV/atom
Space-group type   P4mm, No. 99
Crystal system   tetragonal
DOS at the Fermi energy   2.12 states/eV per cell

Unit cell a=2.8953 b=2.8953 c=5.8933 alpha=90.00 beta=90.00 gamma=90.00
Closest atoms and distances in Å follow each position.
Sites, in units of the cell vectors:
1 Cr 0.0000 0.0000 0.5169  4 Mn 2.42, 5 Al 2.50-2.68
2 Al 0.5000 0.5000 0.2738  4 Cr 2.50, 4 Al 2.71, 1 Mn 2.73
3 Al 0.0000 0.0000 0.9718  4 Mn 2.47, 1 Cr 2.68, 4 Al 2.71
4 Mn 0.5000 0.5000 0.7374  4 Cr 2.42, 4 Al 2.47

=====

The following is a DFT calculation (meta-GGA SCAN) of a crystal of NbCr2CoGe relaxed with PBEsol.

Output
ΔH_f (0 K)   1212 meV/atom
Space-group type   P4/mmm, No. 123
Crystal system   tetragonal
DOS at the Fermi energy   5.54 states/eV per cell

Unit cell a=4.3474 b=4.3474 c=4.7468 alpha=90.00 beta=90.00 gamma=90.00
Closest atoms and distances in Å follow each position.
Sites, in units of the cell vectors:
1 Nb 0.0000 0.0000 0.5000  2 Ge 2.37
2 Ge 0.0000 0.0000 0.0000  4 Cr 2.17, 2 Nb 2.37
3 Cr 0.5000 0.0000 0.0000  2 Ge 2.17
4 Cr 0.0000 0.5000 0.0000  2 Ge 2.17
5 Co 0.5000 0.5000 0.5000  4 Nb 3.07, 8 Cr 3.22

=====

The following is a DFT calculation (meta-GGA SCAN) of a crystal of Pr2CdAg relaxed with PBEsol.

Output
ΔH_f (0 K)   -344 meV/atom
Space-group type   Fm-3m, No. 225
Crystal system   cubic
DOS at the Fermi energy   3.62 states/eV per cell

Unit cell a=5.3152 b=5.3152 c=5.3152 alpha=60.00 beta=60.00 gamma=60.00
Closest atoms and distances in Å follow each position.
Sites, in units of the cell vectors:
1 Pr 0.7500 0.7500 0.7500  4 Ag 3.25, 4 Cd 3.25
2 Pr 0.2500 0.2500 0.2500  4 Cd 3.25, 4 Ag 3.25
3 Ag 0.5000 0.5000 0.5000  8 Pr 3.25
4 Cd 0.0000 0.0000 0.0000  8 Pr 3.25

=====

Calculated uncorrected energy in order - -186.46; -53.00; -100.23; -149.81 eV per cell